Entry 1:
The following is a PBEsol calculation of TaInNi6 after structural relaxation, from Alexandria.

Results
**Volume**: 388.0 Å³ per cell
**Energy**: -218.6 eV per cell
**Crystal system**: orthorhombic
**Symmetry**: No. 65

Unit cell a=6.315 b=6.315 c=10.327 alpha=90.00 beta=90.00 gamma=109.58
Element x y z (fractional)
Ni1 0.627 0.880 0.622
Ni2 0.880 0.627 0.378
Ni3 0.500 0.500 0.500
Ta1 0.248 0.752 0.500
Ta2 0.000 0.000 0.752
Ni4 0.373 0.120 0.622
In1 0.500 0.500 0.250
Ni5 0.373 0.120 0.378
Ni6 0.632 0.878 0.128
Ni7 0.753 0.247 0.744
Ni8 0.247 0.753 0.256
Ni9 0.627 0.880 0.378
Ni10 0.500 0.500 0.000
Ni11 0.753 0.247 0.256
Ta3 0.000 0.000 0.248
In2 0.749 0.251 0.000
Ni12 0.878 0.632 0.872
Ni13 0.368 0.122 0.128
In3 0.500 0.500 0.750
Ni14 0.368 0.122 0.872
Ni15 0.632 0.878 0.872
Ni16 0.880 0.627 0.622
Ni17 0.122 0.368 0.872
Ni18 0.000 0.000 0.000
Ni19 0.878 0.632 0.128
Ni20 0.122 0.368 0.128
Ni21 0.120 0.373 0.622
Ta4 0.752 0.248 0.500
Ni22 0.247 0.753 0.744
Ni23 0.000 0.000 0.500
Ni24 0.120 0.373 0.378
In4 0.251 0.749 0.000

Entry 2:
The following is a PBEsol calculation of TaInNi after structural relaxation, from Alexandria.

Results
**Volume**: 47.9 Å³ per cell
**Energy**: -21.9 eV per cell
**Crystal system**: tetragonal
**Symmetry**: No. 107

Unit cell a=2.960 b=2.960 c=5.854 alpha=104.64 beta=104.64 gamma=90.00
Element x y z (fractional)
Ta1 0.687 0.687 0.375
In1 0.986 0.986 0.973
Ni1 0.326 0.326 0.652

Entry 3:
The following is a PBEsol calculation of TaIn2Ni after structural relaxation, from Alexandria.

Results
**Volume**: 70.1 Å³ per cell
**Energy**: -24.0 eV per cell
**Crystal system**: trigonal
**Symmetry**: No. 166

Unit cell a=3.018 b=3.018 c=9.055 alpha=80.41 beta=80.41 gamma=60.00
Element x y z (fractional)
In1 0.241 0.241 0.276
In2 0.759 0.759 0.724
Ni1 0.500 0.500 0.500
Ta1 0.000 0.000 0.000